## Be2ZnOs2 (GGA-PBE)

Data for a relaxed structure of Be2ZnOs2.

Properties
ΔH_f (0 K): -0.1443 eV/atom
energy: -63.8 eV per cell
excess energy over the best structure of this formula in the dataset: 0.000 eV/atom
SG: No. 127
total moment: 0.0 μB/cell

Lattice parameters (Å, degrees): 5.9270 5.9270 3.1890 90.00 90.00 90.00
Atoms (fractional coordinates):
Be  0.3773  0.8773  0.0000
Be  0.8773  0.6227  0.0000
Be  0.6227  0.1227  0.0000
Be  0.1227  0.3773  0.0000
Zn  0.0000  0.0000  0.0000
Zn  0.5000  0.5000  0.0000
Os  0.1724  0.6724  0.5000
Os  0.6724  0.8276  0.5000
Os  0.8276  0.3276  0.5000
Os  0.3276  0.1724  0.5000